[1]
The following is a DFT calculation (PBE) of a relaxed structure of ScNiMo.

The structure in extended XYZ format:
```
3
Lattice="4.4681 0.0000 0.0000 -2.2341 3.8695 0.0000 0.0000 0.0000 2.7772" Properties=species:S:1:pos:R:3 pbc="T T T"
Ni 2.2341 1.2898 0.4686
Mo 0.0000 0.0000 0.4579
Sc 0.0000 2.5797 1.8507
```

Its relative energy among the computed polymorphs is 0.273 eV per atom. As for the volume: 16.0 Å³ per atom. Its energy relative to the elements is 0.158 eV per atom. Its space group is P3m1 (156).

---

[2]
The following is a DFT calculation (PBE) of a relaxed structure of Ni2PPt.

The structure in extended XYZ format:
```
4
Lattice="2.7111 0.8948 4.2235 -2.1389 1.3639 4.4219 0.2026 -3.4483 -3.7492" Properties=species:S:1:pos:R:3 pbc="T T T"
P 0.2833 1.1183 4.2804
Ni 0.5663 2.2355 8.5564
Pt 1.5736 -0.8158 2.0016
Ni -0.7901 -0.3395 3.0260
```

As for the volume: 12.8 Å³ per atom. Its energy relative to the elements is -0.231 eV per atom. Its space group is Imm2 (44).

---

[3]
The following is a DFT calculation (PBE) of a relaxed structure of Eu2Mg3H10.

The structure in extended XYZ format:
```
30
Lattice="-1.9758 8.8013 -1.1662 -3.4688 7.3746 4.0384 5.3281 4.0567 2.6404" Properties=species:S:1:pos:R:3 pbc="T T T"
H -1.5722 6.6755 0.0578
H 1.0659 7.8975 0.9608
H 1.4558 13.5570 5.4548
H 0.3313 10.4884 1.3986
H -0.7485 16.9904 4.4426
H 0.6321 3.2421 1.0700
H 1.4966 11.5387 3.5922
Eu -0.3109 14.4805 3.8801
H -1.7344 3.6873 2.0192
H -1.6130 8.6939 1.9204
Mg 2.5402 3.4613 1.6775
H 4.2934 3.6219 2.2244
Mg -4.3484 13.4567 2.4413
H 2.4055 6.7233 2.5330
Eu 0.1945 5.7521 1.6325
Eu -1.8785 11.0989 2.5035
Mg -3.0813 7.7449 2.6876
H 2.1106 14.1827 3.1721
H -0.4477 9.7441 4.1140
H -0.4340 13.0501 1.9430
H -0.9879 4.4006 -0.5831
H -2.5220 13.5092 2.9796
Mg -2.3633 8.4310 0.1847
H 0.3175 7.1824 3.5696
Mg 4.2320 6.7759 3.0713
H -2.2270 6.0498 2.3405
H -1.1823 12.3350 4.5518
H -4.4098 16.6106 3.2882
Eu 1.7620 9.1336 3.0091
Mg -2.6566 16.7712 3.8352
```

As for the volume: 10.9 Å³ per atom. The value obtained for the energy is -4.278 eV/atom. Its space group is C2/m (12).

---

[4]
The following is a DFT calculation (PBE) of a relaxed structure of Ac2PmNdEr.

The structure in extended XYZ format:
```
10
Lattice="6.8310 0.0000 0.0000 0.0000 8.7199 1.5937 0.0000 -1.1660 6.3762" Properties=species:S:1:pos:R:3 pbc="T T T"
Ac 4.8572 1.6870 5.2494
Nd 2.8251 -0.8745 4.7821
Ac 4.8572 5.2839 5.9086
Er 0.0000 0.0000 0.0000
Nd 4.0059 -0.2915 1.5940
Er 0.0000 -0.5830 3.1881
Ac 1.9737 5.8669 2.7205
Pm 1.2498 3.4855 5.5790
Ac 1.9737 2.2700 2.0613
Pm 5.5812 4.0685 2.3909
```

As for the volume: 39.2 Å³ per atom. Its energy relative to the elements is 0.249 eV per atom. Its space group is Pmma (51).

---

[5]
The following is a DFT calculation (PBE) of a relaxed structure of BC2.

The structure in extended XYZ format:
```
12
Lattice="-2.6913 4.1400 3.4921 -2.8904 2.0754 4.8904 5.2047 0.2835 1.1600" Properties=species:S:1:pos:R:3 pbc="T T T"
B -0.8826 2.0699 2.9306
C 3.1364 1.7790 3.0736
C -2.0238 4.2467 5.9823
C 0.6383 4.4028 6.5920
C 1.7041 2.2216 3.5231
B -2.7418 6.2658 8.8615
C 5.1031 0.3450 1.2363
B -4.2698 5.8479 8.0266
C -3.1341 3.6767 4.9825
C -1.3283 5.8368 8.4292
C 0.5939 1.6516 2.5233
B -0.5473 3.8284 5.5750
```

Its relative energy among the computed polymorphs is 0.121 eV per atom. As for the volume: 6.3 Å³ per atom. Its energy relative to the elements is 0.361 eV per atom. Its space group is C2/m (12).

---

[6]
The following is a DFT calculation (PBE) of a relaxed structure of Ho3As2O2.

The structure in extended XYZ format:
```
7
Lattice="3.8708 0.0000 0.0000 0.0000 6.8232 -0.0167 -1.9354 -2.1620 5.5668" Properties=species:S:1:pos:R:3 pbc="T T T"
O 0.0000 2.0631 1.7767
Ho 0.0000 3.6225 3.4691
O 1.9354 2.5982 3.7735
As 0.0000 -0.3812 4.2327
Ho 1.9354 1.0387 2.0810
Ho 0.0000 3.4116 -0.0084
As 1.9354 5.0425 1.3174
```

As for the volume: 21.0 Å³ per atom. The value obtained for the energy is -6.974 eV/atom. Its space group is C2/m (12).

---

[7]
The following is a DFT calculation (PBE) of a relaxed structure of CePm3Pu2Te6.

The structure in extended XYZ format:
```
12
Lattice="-3.0412 2.3519 2.2209 -2.0420 -7.2382 4.8689 8.6046 3.1668 3.9913" Properties=species:S:1:pos:R:3 pbc="T T T"
Te 3.8515 -0.1499 5.4329
Te -0.5023 -1.8163 1.2356
Te -0.3300 -1.5695 5.6481
Te 0.6756 2.0110 3.2335
Pm 0.6579 -4.5811 5.7521
Pm -2.5416 -2.4431 3.5449
Pu 1.6805 -0.9579 3.3156
Pm 2.8636 2.8616 5.3289
Pu 1.8410 -0.7616 7.7654
Ce -1.5206 1.1759 1.1104
Te 2.8459 -3.7304 7.8475
Te 4.0238 0.0969 9.8454
```

As for the volume: 31.4 Å³ per atom. The value obtained for the energy is -6.956 eV/atom. Its space group is C2/m (12).

---

[8]
The following is a DFT calculation (PBE) of a relaxed structure of Nd2Er2Pt15.

The structure in extended XYZ format:
```
19
Lattice="-0.2852 -5.7297 -4.1941 5.1983 1.8499 -4.4784 5.2457 -3.6798 3.0727" Properties=species:S:1:pos:R:3 pbc="T T T"
Pt 3.4977 -0.5008 -4.3902
Pt -0.1426 -2.8648 -2.0970
Pt 2.5992 0.9249 -2.2392
Pt 6.0928 -1.7060 -4.1561
Nd 6.5293 -4.8587 -3.5990
Pt 4.0661 -5.8536 -1.4436
Pt 4.0426 -3.1189 -5.1779
Pt 3.3809 -5.4544 -4.0155
Pt 3.5304 -4.3155 0.8191
Pt 2.6229 -1.8399 1.5364
Pt 6.1162 -4.4407 -0.4218
Er 1.0814 -0.8047 -0.5961
Pt 5.2130 0.1350 -2.1366
Nd 3.6296 -2.7009 -2.0007
Pt 1.4301 -5.0939 -1.9404
Pt 6.7779 -2.1052 -1.5842
Er 9.0775 -6.7549 -5.0036
Pt 1.4154 -3.3790 -4.2822
Pt 5.2310 -1.9649 0.7309
```

As for the volume: 18.4 Å³ per atom. Its energy relative to the elements is -0.739 eV per atom. Its space group is R-3m (166).

---

[9]
The following is a DFT calculation (PBE) of a relaxed structure of Dy6Cd5Pt.

The structure in extended XYZ format:
```
12
Lattice="-3.1310 4.0535 -0.7845 -0.4677 1.0719 7.4042 4.3939 7.2599 3.0210" Properties=species:S:1:pos:R:3 pbc="T T T"
Dy -1.5456 6.3502 4.7905
Dy -1.9271 2.8562 5.3367
Cd -0.2339 0.5359 3.7021
Cd 0.2627 4.1294 3.2131
Cd 0.5324 8.2558 6.4276
Dy 2.0931 6.6040 8.7780
Cd 0.5423 7.5497 2.7347
Dy -1.2980 5.7812 0.8626
Dy 2.3407 6.0351 4.8502
Dy 2.7223 9.5290 4.3039
Cd 0.2528 4.8355 6.9059
Pt 0.0000 0.0000 0.0000
```

As for the volume: 25.2 Å³ per atom. Its energy relative to the elements is -0.481 eV per atom. Its space group is C2/m (12).

---

[10]
The following is a DFT calculation (PBE) of a relaxed structure of LaCr4.

The structure in extended XYZ format:
```
5
Lattice="4.7707 0.0000 0.0000 0.0000 4.7707 0.0000 0.0000 0.0000 4.7707" Properties=species:S:1:pos:R:3 pbc="T T T"
Cr 0.0000 2.3853 2.3853
Cr 2.3853 2.3853 0.0000
La 2.3853 2.3853 2.3853
Cr 2.3853 0.0000 2.3853
Cr 0.0000 0.0000 0.0000
```

Its relative energy among the computed polymorphs is 1.576 eV per atom. As for the volume: 21.7 Å³ per atom. Its energy relative to the elements is 2.019 eV per atom. Its space group is Pm-3m (221).

---

[11]
The following is a DFT calculation (PBE) of a relaxed structure of Nd6AsN4.

The structure in extended XYZ format:
```
22
Lattice="3.7780 0.0000 0.0000 -1.8890 6.1163 0.0000 0.0000 0.0000 19.0689" Properties=species:S:1:pos:R:3 pbc="T T T"
Nd 1.8890 0.0000 9.5345
Nd 0.0000 0.5189 6.6743
N 0.0000 5.0666 2.3644
N 0.0000 1.7004 8.7772
N 0.0000 5.0666 7.1701
N 1.8890 4.4159 18.3117
Nd 0.0000 2.7182 11.0243
Nd 0.0000 2.7182 17.5791
Nd 1.8890 0.0000 0.0000
Nd 1.8890 5.5974 16.2087
N 0.0000 1.7004 0.7573
N 1.8890 1.0496 11.8988
Nd 1.8890 1.8650 14.3017
Nd 1.8890 3.3981 1.4898
N 1.8890 1.0496 16.7046
Nd 0.0000 0.5189 2.8602
N 1.8890 4.4159 10.2917
As 0.0000 4.1113 14.3017
Nd 1.8890 3.3981 8.0447
Nd 0.0000 4.2513 4.7672
Nd 1.8890 5.5974 12.3947
As 1.8890 2.0050 4.7672
```

As for the volume: 20.0 Å³ per atom. The value obtained for the energy is -7.320 eV/atom. Its space group is Cmcm (63).

---

[12]
The following is a DFT calculation (PBE) of a relaxed structure of La2ReW.

The structure in extended XYZ format:
```
4
Lattice="-4.6926 -0.4762 -2.7230 1.2366 -5.2277 0.8970 -0.3822 2.2434 3.5706" Properties=species:S:1:pos:R:3 pbc="T T T"
La -0.6021 -2.7856 1.6764
La -4.5423 -0.5966 -2.6313
W -3.1008 -0.7833 0.1508
Re -2.0136 -2.6230 -1.0874
```

Its relative energy among the computed polymorphs is 0.236 eV per atom. As for the volume: 24.3 Å³ per atom. Its energy relative to the elements is 0.435 eV per atom. Its space group is C2 (5).

---

[13]
The following is a DFT calculation (PBE) of a relaxed structure of RbHoI2O8.

The structure in extended XYZ format:
```
12
Lattice="6.2560 0.0000 0.0000 -3.1280 5.4179 0.0000 0.0000 0.0000 8.0764" Properties=species:S:1:pos:R:3 pbc="T T T"
O 1.6272 4.5514 6.6512
I 3.1280 1.8060 1.7464
O 4.7552 0.8665 1.4252
O 3.1280 3.6849 1.4252
O -1.6272 4.5514 6.6512
O 1.5008 0.8665 1.4252
Rb 0.0000 0.0000 4.0382
O 0.0000 3.6119 4.5441
I 0.0000 3.6119 6.3300
O 0.0000 1.7329 6.6512
O 3.1280 1.8060 3.5323
Ho 0.0000 0.0000 0.0000
```

As for the volume: 22.8 Å³ per atom. The value obtained for the energy is -5.098 eV/atom. Its space group is P-3m1 (164).

---

[14]
The following is a DFT calculation (PBE) of a relaxed structure of SrCr2Sb.

The structure in extended XYZ format:
```
4
Lattice="3.4867 0.0107 0.0000 -0.0106 3.4867 0.0000 0.0000 0.0000 7.5670" Properties=species:S:1:pos:R:3 pbc="T T T"
Sr 1.7380 1.7487 5.7735
Sb 0.0000 0.0000 3.3603
Cr 0.0000 0.0000 0.6453
Cr 1.7380 1.7487 1.5715
```

As for the volume: 23.0 Å³ per atom. The value obtained for the energy is -6.042 eV/atom. Its space group is P4mm (99).

---

[15]
The following is a DFT calculation (PBE) of a relaxed structure of LiSiPt4.

The structure in extended XYZ format:
```
6
Lattice="0.0000 3.7242 3.7242 3.7242 0.0000 3.7242 3.7242 3.7242 0.0000" Properties=species:S:1:pos:R:3 pbc="T T T"
Pt 4.6548 2.7935 4.6548
Pt 2.7935 2.7935 2.7935
Li 0.0000 0.0000 0.0000
Pt 2.7935 4.6548 4.6548
Si 5.5862 5.5862 5.5862
Pt 4.6548 4.6548 2.7935
```

Its relative energy among the computed polymorphs is 0.370 eV per atom. As for the volume: 17.2 Å³ per atom. Its space group is F-43m (216).

---

[16]
The following is a DFT calculation (PBE) of a relaxed structure of LaSi2Au2.

The structure in extended XYZ format:
```
5
Lattice="-1.1125 -3.6889 2.2958 -0.2786 -2.3044 -3.8378 4.2233 -4.2383 -0.3826" Properties=species:S:1:pos:R:3 pbc="T T T"
Si 1.2076 -5.4620 0.5711
La 0.0000 0.0000 0.0000
Au 2.1904 -6.8974 -1.2592
Au 0.6418 -3.3343 -0.6654
Si 1.6246 -4.7697 -2.4957
```

As for the volume: 20.5 Å³ per atom. The value obtained for the energy is -5.014 eV/atom. Its space group is I4/mmm (139).

---

[17]
The following is a DFT calculation (PBE) of a relaxed structure of PrDy2Ga2Pt7.

The structure in extended XYZ format:
```
12
Lattice="-1.5092 -2.0217 -3.2159 3.7765 -0.6974 -1.3996 1.4367 -13.1053 5.3749" Properties=species:S:1:pos:R:3 pbc="T T T"
Pt 2.2775 -9.1545 0.0473
Pt 1.1336 -1.3595 -2.3077
Pt 3.2453 -11.5233 3.4962
Pt 3.0998 -3.6393 -1.8292
Dy 1.2192 -8.7461 2.8293
Dy 2.4847 -7.0782 -2.0698
Pr 0.0000 0.0000 0.0000
Ga 1.2629 -4.5078 -0.3882
Pt 0.4587 -4.3010 -2.7368
Ga 2.4411 -11.3165 1.1476
Pt 1.4265 -6.6698 0.7121
Pt 0.6041 -12.1851 2.5887
```

As for the volume: 19.5 Å³ per atom. Its energy relative to the elements is -0.915 eV per atom. Its space group is C2/m (12).

---

[18]
The following is a DFT calculation (PBE) of a relaxed structure of Lu2TePd.

The structure in extended XYZ format:
```
4
Lattice="3.6691 0.0000 0.0000 0.0000 3.6691 0.0000 0.0000 0.0000 6.9311" Properties=species:S:1:pos:R:3 pbc="T T T"
Lu 0.0000 0.0000 5.3349
Pd 1.8345 1.8345 0.0000
Te 1.8345 1.8345 3.4656
Lu 0.0000 0.0000 1.5962
```

Its relative energy among the computed polymorphs is 0.000 eV per atom. As for the volume: 23.3 Å³ per atom. Its space group is P4/mmm (123).

---

[19]
The following is a DFT calculation (PBE) of a relaxed structure of Ta2MnH.

The structure in extended XYZ format:
```
4
Lattice="0.0000 2.9825 2.9825 2.9825 0.0000 2.9825 2.9825 2.9825 0.0000" Properties=species:S:1:pos:R:3 pbc="T T T"
Ta 1.4913 1.4913 1.4913
Ta 4.4738 4.4738 4.4738
Mn 2.9825 2.9825 2.9825
H 0.0000 0.0000 0.0000
```

Its relative energy among the computed polymorphs is 0.207 eV per atom. As for the volume: 13.3 Å³ per atom. Its space group is Fm-3m (225).

---

[20]
The following is a DFT calculation (PBE) of a relaxed structure of YHo8Tm2.

The structure in extended XYZ format:
```
11
Lattice="5.2199 0.0006 -1.5836 -0.9950 7.3681 -3.2767 -0.0480 -0.3850 9.2216" Properties=species:S:1:pos:R:3 pbc="T T T"
Y 2.6099 0.0003 -0.7918
Ho 2.8903 3.0876 0.1296
Ho 3.5080 5.9161 2.1642
Ho 1.2865 3.8962 4.2316
Ho 4.8774 1.7953 6.6685
Tm 0.3337 5.0130 1.0981
Ho 2.4816 6.1149 -1.2162
Tm 3.8432 1.9707 3.2632
Ho 1.6952 0.8688 5.5774
Ho 0.6688 1.0677 2.1971
Ho -0.7006 5.1884 -2.3072
```

Its relative energy among the computed polymorphs is 0.000 eV per atom. As for the volume: 31.5 Å³ per atom. Its energy relative to the elements is 0.121 eV per atom. Its space group is Immm (71).

---

[21]
The following is a DFT calculation (PBE) of a relaxed structure of TaIn2Cl.

The structure in extended XYZ format:
```
4
Lattice="-2.2644 -4.0803 3.4459 -3.5423 -4.5389 0.7077 2.9797 -4.3417 -0.6634" Properties=species:S:1:pos:R:3 pbc="T T T"
In -2.5278 -9.7055 2.8053
Ta -1.4816 -6.8386 1.8369
In -5.6649 -8.6622 4.0946
Cl -0.3732 -2.8542 0.6522
```

Its relative energy among the computed polymorphs is 0.161 eV per atom. As for the volume: 21.7 Å³ per atom. Its space group is Cm (8).

---

[22]
The following is a DFT calculation (PBE) of a relaxed structure of ZrMnVPb2.

The structure in extended XYZ format:
```
5
Lattice="-2.8305 4.0921 -1.1904 -3.4479 -1.9914 1.3526 0.7525 1.8865 4.6957" Properties=species:S:1:pos:R:3 pbc="T T T"
Pb 0.3762 0.9433 2.3478
V -1.7239 -0.9957 0.6763
Pb -1.4153 2.0461 -0.5952
Zr -2.7629 1.9936 2.4289
Mn 0.0000 0.0000 0.0000
```

As for the volume: 22.0 Å³ per atom. Its energy relative to the elements is 0.766 eV per atom. Its space group is P4/mmm (123).

---

[23]
The following is a DFT calculation (PBE) of a relaxed structure of ScNbZnFe.

The structure in extended XYZ format:
```
4
Lattice="-1.1105 -4.3253 -0.4617 2.3658 -3.1648 2.1313 -1.8244 -2.2290 3.4436" Properties=species:S:1:pos:R:3 pbc="T T T"
Zn 0.0000 0.0000 0.0000
Fe -0.2846 -4.8596 2.5566
Sc -0.1423 -2.4298 1.2783
Nb -0.4269 -7.2893 3.8349
```

As for the volume: 16.0 Å³ per atom. Its energy relative to the elements is -0.074 eV per atom. Its space group is F-43m (216).